Entry 1:
## ZrFeHgBi (GGA-PBE)

Data for a geometry-optimized ZrFeHgBi structure. Values from VASP.

Results
- Energy relative to the lowest polymorph listed for this composition: 32 meV/atom
- V: 21.54 Å³ per atom
- Magnetization: 1.27 μB per formula unit
- E_tot: -4.983 eV per atom

```
&SYSTEM
  ibrav = 0, nat = 4, ntyp = 4
/
ATOMIC_SPECIES
Zr 91.22 Zr.upf
Fe 55.84 Fe.upf
Hg 200.59 Hg.upf
Bi 208.98 Bi.upf
ATOMIC_POSITIONS angstrom
Zr 3.506 3.506 3.506
Fe 5.259 5.259 5.259
Hg 1.753 1.753 1.753
Bi 0.000 0.000 0.000
CELL_PARAMETERS angstrom
0.000 3.506 3.506
3.506 0.000 3.506
3.506 3.506 0.000
```

Entry 2:
## Ho3Lu3FeBi2 (GGA-PBE)

Data for a geometry-optimized Ho3Lu3FeBi2 structure. Values from VASP.

Results
- Energy relative to the lowest polymorph listed for this composition: 0 meV/atom
- V: 26.71 Å³ per atom
- Magnetization: 0.01 μB per formula unit
- E_tot: -5.312 eV per atom

```
&SYSTEM
  ibrav = 0, nat = 9, ntyp = 4
/
ATOMIC_SPECIES
Bi 208.98 Bi.upf
Lu 174.97 Lu.upf
Ho 164.93 Ho.upf
Fe 55.84 Fe.upf
ATOMIC_POSITIONS angstrom
Bi 4.097 2.365 2.067
Bi 0.000 4.731 2.067
Lu -0.932 1.614 2.067
Lu 3.165 5.482 2.067
Lu 1.864 0.000 2.067
Ho 1.584 2.744 0.000
Ho -2.513 4.352 0.000
Ho 5.025 0.000 0.000
Fe 0.000 0.000 0.000
CELL_PARAMETERS angstrom
8.194 0.000 0.000
-4.097 7.096 0.000
0.000 0.000 4.134
```